1.
A geometry-optimized ZnFeReW structure, computed with PBE.

abc: 6.065 6.065 6.065
angles: 90.00 90.00 90.00
Space group F-43m (No. 216)
Asymmetric unit:
Zn  0.000  0.000  0.000
Fe  0.250  0.250  0.250
Re  0.250  0.250  0.750
W  0.000  0.000  0.500

M_tot in μB per atom: 0.21
Mass density in kg/m³: 14627
Formation energy in kJ/mol of formula units: 73


2.
A geometry-optimized YFe2Re structure, computed with PBE.

abc: 6.255 6.255 6.255
angles: 90.00 90.00 90.00
Space group F-43m (No. 216)
Asymmetric unit:
Y  0.000  0.000  0.000
Fe  0.000  0.000  0.500
Fe  0.250  0.250  0.250
Re  0.250  0.250  0.750

M_tot in μB per atom: 0.74
Mass density in kg/m³: 10497
Formation energy in kJ/mol of formula units: 207